# 1
RbOsCl2 | GGA-PBE | optimized geometry

D(E_F)   0.544 states/eV per atom
Total magnetization   0.00 μB/f.u.
Theoretical density   5.14 g/cm³
Formation energy from raw total energies   0.252 eV/atom
Calculated total energy   -14.883 eV per cell

a b c (Å): 8.8482 8.8482 8.8482
angles (deg): 25.37 25.37 25.37
Element x y z (fractional)
Rb (0.0000, 0.0000, 0.0000)
Os (0.5000, 0.5000, 0.5000)
Cl (0.1256, 0.1256, 0.1256)
Cl (0.8744, 0.8744, 0.8744)



# 2
CeAgPdS3 | GGA-PBE | optimized geometry

D(E_F)   0.529 states/eV per atom
Total magnetization   0.00 μB/f.u.
Theoretical density   5.96 g/cm³
Formation energy from raw total energies   -0.866 eV/atom
Calculated total energy   -63.112 eV per cell

a b c (Å): 7.5688 3.9110 8.6777
angles (deg): 90.00 102.02 90.00
Element x y z (fractional)
Ce (0.1781, 0.2500, 0.2255)
Ce (0.8219, 0.7500, 0.7745)
Ag (0.3525, 0.7500, 0.8370)
Ag (0.6475, 0.2500, 0.1630)
Pd (0.1225, 0.2500, 0.6051)
Pd (0.8775, 0.7500, 0.3949)
S (0.0830, 0.2500, 0.8797)
S (0.2097, 0.7500, 0.4753)
S (0.4116, 0.7500, 0.1632)
S (0.5884, 0.2500, 0.8368)
S (0.7903, 0.2500, 0.5247)
S (0.9170, 0.7500, 0.1203)



# 3
Zn3GeMo | GGA-PBE | optimized geometry

D(E_F)   0.552 states/eV per atom
Total magnetization   3.87 μB/f.u.
Theoretical density   5.75 g/cm³
ΔE_f   1128 meV per atom
Calculated total energy   -13.629 eV per cell

a b c (Å): 4.7231 4.7231 4.7231
angles (deg): 90.00 90.00 90.00
Element x y z (fractional)
Zn (0.0000, 0.0000, 0.5000)
Zn (0.0000, 0.5000, 0.0000)
Zn (0.5000, 0.0000, 0.0000)
Ge (0.0000, 0.0000, 0.0000)
Mo (0.5000, 0.5000, 0.5000)



# 4
VTe3Rh | GGA-PBE | optimized geometry

D(E_F)   0.838 states/eV per atom
Total magnetization   0.03 μB/f.u.
Theoretical density   6.74 g/cm³
Formation energy from raw total energies   0.694 eV/atom
Calculated total energy   -22.428 eV per cell

a b c (Å): 5.0950 5.0950 5.0950
angles (deg): 90.00 90.00 90.00
Element x y z (fractional)
V (0.0000, 0.0000, 0.0000)
Te (0.0000, 0.0000, 0.5000)
Te (0.0000, 0.5000, 0.0000)
Te (0.5000, 0.0000, 0.0000)
Rh (0.5000, 0.5000, 0.5000)



# 5
La6HgGe2Br3 | GGA-PBE | optimized geometry

D(E_F)   0.645 states/eV per atom
Total magnetization   0.00 μB/f.u.
Theoretical density   6.31 g/cm³
Formation energy from raw total energies   -1.098 eV/atom
Calculated total energy   -57.297 eV per cell

a b c (Å): 9.8795 9.8795 8.9001
angles (deg): 100.97 100.97 25.99
Element x y z (fractional)
La (0.0075, 0.0075, 0.2530)
La (0.3276, 0.3276, 0.4302)
La (0.3328, 0.3328, 0.8955)
La (0.6672, 0.6672, 0.1045)
La (0.6724, 0.6724, 0.5698)
La (0.9925, 0.9925, 0.7470)
Hg (0.5000, 0.5000, 0.0000)
Ge (0.1676, 0.1676, 0.3354)
Ge (0.8324, 0.8324, 0.6646)
Br (0.1658, 0.1658, 0.8327)
Br (0.5000, 0.5000, 0.5000)
Br (0.8342, 0.8342, 0.1673)



# 6
Ca2OsS2 | GGA-PBE | optimized geometry

D(E_F)   0.074 states/eV per atom
Total magnetization   0.00 μB/f.u.
Theoretical density   5.96 g/cm³
Formation energy from raw total energies   -0.822 eV/atom
Calculated total energy   -55.193 eV per cell

a b c (Å): 6.7717 6.7717 4.0627
angles (deg): 90.00 90.00 90.00
Element x y z (fractional)
Ca (0.1599, 0.3401, 0.0000)
Ca (0.3401, 0.8401, 0.0000)
Ca (0.6599, 0.1599, 0.0000)
Ca (0.8401, 0.6599, 0.0000)
Os (0.0000, 0.0000, 0.5000)
Os (0.5000, 0.5000, 0.5000)
S (0.1622, 0.6622, 0.5000)
S (0.3378, 0.1622, 0.5000)
S (0.6622, 0.8378, 0.5000)
S (0.8378, 0.3378, 0.5000)



# 7
Ba2In4Pt | GGA-PBE | optimized geometry

D(E_F)   0.582 states/eV per atom
Total magnetization   0.00 μB/f.u.
Theoretical density   6.26 g/cm³
ΔE_f   -353 meV per atom
Calculated total energy   -23.308 eV per cell

a b c (Å): 9.8504 9.8504 9.8504
angles (deg): 149.44 149.44 43.77
Element x y z (fractional)
Ba (0.1564, 0.1564, 0.0000)
Ba (0.8436, 0.8436, 0.0000)
In (0.0000, 0.5000, 0.5000)
In (0.3499, 0.3499, 0.0000)
In (0.5000, 0.0000, 0.5000)
In (0.6501, 0.6501, 0.0000)
Pt (0.5000, 0.5000, 0.0000)



# 8
Tl4InSn2 | GGA-PBE | optimized geometry

D(E_F)   0.462 states/eV per atom
Total magnetization   0.00 μB/f.u.
Theoretical density   8.74 g/cm³
ΔE_f   91 meV per atom
Calculated total energy   -19.569 eV per cell

a b c (Å): 6.6115 6.6115 6.6115
angles (deg): 108.55 108.55 111.34
Element x y z (fractional)
Tl (0.0000, 0.0000, 0.5000)
Tl (0.0000, 0.5000, 0.0000)
Tl (0.5000, 0.0000, 0.0000)
Tl (0.5000, 0.5000, 0.5000)
In (0.0000, 0.0000, 0.0000)
Sn (0.0000, 0.5000, 0.5000)
Sn (0.5000, 0.0000, 0.5000)



# 9
AlV3Sn | GGA-PBE | optimized geometry

D(E_F)   1.402 states/eV per atom
Total magnetization   5.93 μB/f.u.
Theoretical density   4.21 g/cm³
ΔE_f   1492 meV per atom
Calculated total energy   -27.639 eV per cell

a b c (Å): 4.9024 4.9024 4.9024
angles (deg): 90.00 90.00 90.00
Element x y z (fractional)
Al (0.0000, 0.0000, 0.0000)
V (0.0000, 0.5000, 0.5000)
V (0.5000, 0.0000, 0.5000)
V (0.5000, 0.5000, 0.0000)
Sn (0.5000, 0.5000, 0.5000)



# 10
PaSi2Pd2 | GGA-PBE | optimized geometry

D(E_F)   0.646 states/eV per atom
Total magnetization   0.00 μB/f.u.
Theoretical density   9.54 g/cm³
Formation energy from raw total energies   -0.739 eV/atom
Calculated total energy   -68.841 eV per cell

a b c (Å): 4.2220 4.2190 9.7733
angles (deg): 90.00 91.03 90.00
Element x y z (fractional)
Pa (0.2411, 0.2500, 0.2493)
Pa (0.7589, 0.7500, 0.7507)
Si (0.1966, 0.7500, 0.9970)
Si (0.2501, 0.2500, 0.6345)
Si (0.7499, 0.7500, 0.3655)
Si (0.8034, 0.2500, 0.0030)
Pd (0.2554, 0.7500, 0.5006)
Pd (0.3028, 0.2500, 0.8778)
Pd (0.6972, 0.7500, 0.1222)
Pd (0.7446, 0.2500, 0.4994)



# 11
LaRe | GGA-PBE | optimized geometry

D(E_F)   0.960 states/eV per atom
Total magnetization   0.00 μB/f.u.
Theoretical density   10.15 g/cm³
ΔE_f   231 meV per atom
Calculated total energy   -67.657 eV per cell

a b c (Å): 8.6703 4.1854 5.8644
angles (deg): 90.00 90.00 90.00
Element x y z (fractional)
La (0.1767, 0.2500, 0.0943)
La (0.3233, 0.7500, 0.5943)
La (0.6767, 0.2500, 0.4057)
La (0.8233, 0.7500, 0.9057)
Re (0.0414, 0.2500, 0.5843)
Re (0.4586, 0.7500, 0.0843)
Re (0.5414, 0.2500, 0.9157)
Re (0.9586, 0.7500, 0.4157)



# 12
Cs6CdAu | GGA-PBE | optimized geometry

D(E_F)   0.801 states/eV per atom
Total magnetization   0.00 μB/f.u.
Theoretical density   2.74 g/cm³
ΔE_f   -97 meV per atom
Calculated total energy   -10.092 eV per cell

a b c (Å): 5.1387 11.5449 11.5449
angles (deg): 78.31 90.00 90.00
Element x y z (fractional)
Cs (0.0000, 0.0000, 0.0000)
Cs (0.0000, 0.5748, 0.8911)
Cs (0.0000, 0.8911, 0.5748)
Cs (0.5000, 0.2574, 0.2574)
Cs (0.5000, 0.3078, 0.6744)
Cs (0.5000, 0.6744, 0.3078)
Cd (0.0000, 0.5590, 0.5590)
Au (0.5000, 0.6322, 0.6322)